(1)
Density functional theory data (meta-GGA SCAN) for a crystal of CaIr2Pb2 relaxed with PBEsol.

Unit cell a=6.7244 b=6.7244 c=6.7244 alpha=142.19 beta=142.19 gamma=54.54
With the nearest neighbours (Å) after each atom.
Fractional positions:
Ca  0.0000  0.0000  0.0000  8 Pb 3.42, 8 Ir 3.70
Ir  0.2500  0.7500  0.5000  4 Pb 2.65
Ir  0.7500  0.2500  0.5000  4 Pb 2.65
Pb  0.3766  0.3766  0.0000  4 Ir 2.65, 1 Pb 2.95
Pb  0.6234  0.6234  0.0000  4 Ir 2.65, 1 Pb 2.95

Results
E = -303.42 eV/cell
Fermi-level density of states = 0.291 states/eV/atom
E_form = 0.002 eV per atom
M_tot = 0.00 Bohr magnetons per cell
ρ = 12.3 Mg/m³

***

(2)
Density functional theory data (meta-GGA SCAN) for a crystal of PtPb5 relaxed with PBEsol.

Unit cell a=3.4576 b=3.4576 c=13.2360 alpha=90.00 beta=90.00 gamma=90.00
With the nearest neighbours (Å) after each atom.
Fractional positions:
Pt  0.0000  0.0000  0.0000  8 Pb 2.95
Pb  0.0000  0.0000  0.3198  12 Pb 3.42-3.55
Pb  0.0000  0.0000  0.6802  12 Pb 3.42-3.55
Pb  0.5000  0.5000  0.1252  4 Pt 2.95
Pb  0.5000  0.5000  0.5000  12 Pb 3.42-3.46
Pb  0.5000  0.5000  0.8748  4 Pt 2.95

Results
E = -449.25 eV/cell
Fermi-level density of states = 0.453 states/eV/atom
E_form = -0.025 eV per atom
M_tot = 0.00 Bohr magnetons per cell
ρ = 12.9 Mg/m³

***

(3)
Density functional theory data (meta-GGA SCAN) for a crystal of CaCu2Ag relaxed with PBEsol.

Unit cell a=3.2871 b=3.4311 c=6.0998 alpha=90.00 beta=90.00 gamma=90.00
With the nearest neighbours (Å) after each atom.
Fractional positions:
Ca  0.0000  0.0000  0.0000  8 Cu 2.99, 2 Ag 3.05, 2 Ca 3.29
Cu  0.5000  0.5000  0.2987  1 Cu 2.46, 4 Ag 2.67
Cu  0.5000  0.5000  0.7013  1 Cu 2.46, 4 Ag 2.67
Ag  0.0000  0.0000  0.5000  8 Cu 2.67

Results
E = -71.24 eV/cell
Fermi-level density of states = 0.359 states/eV/atom
E_form = 0.048 eV per atom
M_tot = 0.00 Bohr magnetons per cell
ρ = 6.6 Mg/m³

***

(4)
Density functional theory data (meta-GGA SCAN) for a crystal of Hg4Pb relaxed with PBEsol.

Unit cell a=5.7509 b=5.7509 c=5.7509 alpha=97.98 beta=97.98 gamma=136.26
With the nearest neighbours (Å) after each atom.
Fractional positions:
Hg  0.1003  0.6924  0.7927  9 Hg 3.16-3.45, 3 Pb 3.25-3.35
Hg  0.3076  0.1003  0.4079  9 Hg 3.16-3.45, 3 Pb 3.25-3.35
Hg  0.6924  0.8997  0.5921  9 Hg 3.16-3.45, 3 Pb 3.25-3.35
Hg  0.8997  0.3076  0.2073  9 Hg 3.16-3.45, 3 Pb 3.25-3.35
Pb  0.5000  0.5000  0.0000  12 Hg 3.25-3.35

Results
E = -348.23 eV/cell
Fermi-level density of states = 0.372 states/eV/atom
E_form = 0.042 eV per atom
M_tot = 0.00 Bohr magnetons per cell
ρ = 13.7 Mg/m³